ScFe2F | PBE with a Hubbard U | relaxed

Calculated values
ΔE to the lowest computed polymorph ... 0.00 eV per formula unit
V ... 133.0 Å³ per cell

Lattice parameters (Å, degrees): 7.7653 7.7653 5.9172 48.99 48.99 90.00
Closest atoms and distances in Å follow each position.
Atoms (fractional coordinates):
Fe 0.5566 0.1250 0.2500  2 Fe 2.45, 2 F 2.46
Fe 0.1934 0.6250 0.2500  2 Fe 2.45, 2 F 2.46
Fe 0.3750 0.4434 0.7500  2 Fe 2.45, 2 F 2.46
Fe 0.8750 0.8066 0.7500  2 Fe 2.45, 2 F 2.46
F 0.5000 0.5000 0.0000  2 Sc 2.21, 4 Fe 2.46
F 0.2500 0.7500 0.5000  2 Sc 2.21, 4 Fe 2.46
Sc 0.7500 0.2500 0.5000  2 F 2.21
Sc 0.0000 0.0000 0.0000  2 F 2.21